(1)
Compound: YW3O8
Source: Alexandria via LeMat-Bulk
Functional: meta-GGA SCAN
Structure: single point on PBEsol structure

* uncorrected energy: -26.261 eV/atom
* DOS(E_F): 0.27 states/eV/atom
* uncorrected formation energy: -2365 meV/atom

Cell lengths 5.125, 5.652, 9.642 Å; angles 90.00, 95.33, 90.00 degrees
Fractional positions:
Y  0.750  0.313  0.250
Y  0.250  0.687  0.750
W  0.250  0.631  0.250
W  0.750  0.369  0.750
W  0.718  0.880  0.006
W  0.782  0.880  0.494
W  0.282  0.120  0.994
W  0.218  0.120  0.506
O  0.588  0.646  0.361
O  0.912  0.646  0.139
O  0.412  0.354  0.639
O  0.088  0.354  0.861
O  0.589  0.144  0.872
O  0.911  0.144  0.628
O  0.411  0.856  0.128
O  0.089  0.856  0.372
O  0.132  0.380  0.374
O  0.368  0.380  0.126
O  0.868  0.620  0.626
O  0.632  0.620  0.874
O  0.549  0.113  0.399
O  0.451  0.887  0.601
O  0.951  0.113  0.101
O  0.049  0.887  0.899

---

(2)
Compound: Y2W3O12
Source: Alexandria via LeMat-Bulk
Functional: meta-GGA SCAN
Structure: single point on PBEsol structure

* uncorrected energy: -22.786 eV/atom
* DOS(E_F): 0.00 states/eV/atom
* uncorrected formation energy: -2814 meV/atom

Cell lengths 10.051, 10.138, 14.099 Å; angles 90.00, 90.00, 90.00 degrees
Fractional positions:
Y  0.250  0.469  0.383
Y  0.250  0.031  0.617
Y  0.250  0.969  0.117
Y  0.250  0.531  0.883
Y  0.750  0.531  0.617
Y  0.750  0.969  0.383
Y  0.750  0.031  0.883
Y  0.750  0.469  0.117
W  0.974  0.250  0.500
W  0.526  0.750  0.000
W  0.026  0.750  0.500
W  0.474  0.250  0.000
W  0.389  0.113  0.358
W  0.389  0.387  0.642
W  0.111  0.613  0.142
W  0.111  0.887  0.858
W  0.611  0.887  0.642
W  0.611  0.613  0.358
W  0.889  0.387  0.858
W  0.889  0.113  0.142
O  0.857  0.285  0.159
O  0.857  0.215  0.841
O  0.643  0.785  0.341
O  0.643  0.715  0.659
O  0.143  0.715  0.841
O  0.143  0.785  0.159
O  0.357  0.215  0.659
O  0.357  0.285  0.341
O  0.818  0.062  0.033
O  0.818  0.438  0.967
O  0.682  0.562  0.467
O  0.682  0.938  0.533
O  0.182  0.938  0.967
O  0.182  0.562  0.033
O  0.318  0.438  0.533
O  0.318  0.062  0.467
O  0.423  0.662  0.918
O  0.577  0.338  0.082
O  0.923  0.838  0.418
O  0.923  0.662  0.582
O  0.065  0.086  0.139
O  0.065  0.414  0.861
O  0.435  0.586  0.361
O  0.435  0.914  0.639
O  0.935  0.914  0.861
O  0.935  0.586  0.139
O  0.565  0.414  0.639
O  0.565  0.086  0.361
O  0.372  0.137  0.064
O  0.372  0.363  0.936
O  0.128  0.637  0.436
O  0.128  0.863  0.564
O  0.628  0.863  0.936
O  0.628  0.637  0.064
O  0.872  0.363  0.564
O  0.872  0.137  0.436
O  0.318  0.020  0.263
O  0.318  0.480  0.737
O  0.182  0.520  0.237
O  0.182  0.980  0.763
O  0.682  0.980  0.737
O  0.682  0.520  0.263
O  0.818  0.480  0.763
O  0.818  0.020  0.237
O  0.077  0.338  0.418
O  0.077  0.162  0.582
O  0.423  0.838  0.082
O  0.577  0.162  0.918

---

(3)
Compound: Y2W2O9
Source: Alexandria via LeMat-Bulk
Functional: meta-GGA SCAN
Structure: single point on PBEsol structure

* uncorrected energy: -22.260 eV/atom
* DOS(E_F): 0.00 states/eV/atom
* E above lowest polymorph: 0.0234 eV per atom
* uncorrected formation energy: -2941 meV/atom

Cell lengths 5.273, 5.484, 23.140 Å; angles 90.00, 90.00, 90.00 degrees
Fractional positions:
Y  0.277  0.949  0.298
Y  0.777  0.949  0.202
Y  0.277  0.551  0.702
Y  0.777  0.551  0.798
Y  0.723  0.449  0.298
Y  0.223  0.449  0.202
Y  0.723  0.051  0.702
Y  0.223  0.051  0.798
W  0.753  0.850  0.424
W  0.253  0.850  0.076
W  0.753  0.650  0.576
W  0.253  0.650  0.924
W  0.247  0.350  0.424
W  0.747  0.350  0.076
W  0.247  0.150  0.576
W  0.747  0.150  0.924
O  0.542  0.011  0.100
O  0.458  0.989  0.900
O  0.003  0.807  0.740
O  0.444  0.902  0.556
O  0.503  0.807  0.760
O  0.944  0.902  0.944
O  0.615  0.797  0.352
O  0.115  0.797  0.148
O  0.350  0.750  0.000
O  0.850  0.750  0.500
O  0.615  0.703  0.648
O  0.115  0.703  0.852
O  0.444  0.598  0.444
O  0.003  0.693  0.260
O  0.944  0.598  0.056
O  0.503  0.693  0.240
O  0.958  0.511  0.400
O  0.042  0.489  0.600
O  0.458  0.511  0.100
O  0.542  0.489  0.900
O  0.997  0.307  0.740
O  0.556  0.402  0.556
O  0.497  0.307  0.760
O  0.056  0.402  0.944
O  0.385  0.297  0.352
O  0.885  0.297  0.148
O  0.650  0.250  0.000
O  0.150  0.250  0.500
O  0.385  0.203  0.648
O  0.885  0.203  0.852
O  0.556  0.098  0.444
O  0.997  0.193  0.260
O  0.056  0.098  0.056
O  0.497  0.193  0.240
O  0.042  0.011  0.400
O  0.958  0.989  0.600

---

(4)
Compound: ZrW2O8
Source: Alexandria via LeMat-Bulk
Functional: meta-GGA SCAN
Structure: single point on PBEsol structure

* uncorrected energy: -22.607 eV/atom
* DOS(E_F): 0.00 states/eV/atom
* uncorrected formation energy: -2614 meV/atom

Cell lengths 9.214, 9.214, 9.214 Å; angles 90.00, 90.00, 90.00 degrees
Fractional positions:
Zr  0.002  0.002  0.002
Zr  0.498  0.998  0.502
Zr  0.502  0.498  0.998
Zr  0.998  0.502  0.498
W  0.657  0.843  0.157
W  0.843  0.157  0.657
W  0.157  0.657  0.843
W  0.343  0.343  0.343
W  0.598  0.598  0.598
W  0.902  0.402  0.098
W  0.098  0.902  0.402
W  0.402  0.098  0.902
O  0.765  0.735  0.265
O  0.735  0.265  0.765
O  0.265  0.765  0.735
O  0.235  0.235  0.235
O  0.512  0.988  0.012
O  0.988  0.012  0.512
O  0.012  0.512  0.988
O  0.488  0.488  0.488
O  0.715  0.434  0.054
O  0.215  0.066  0.946
O  0.285  0.934  0.446
O  0.066  0.946  0.215
O  0.204  0.440  0.446
O  0.446  0.204  0.440
O  0.440  0.446  0.204
O  0.060  0.554  0.704
O  0.946  0.296  0.560
O  0.560  0.946  0.296
O  0.054  0.796  0.940
O  0.554  0.704  0.060
O  0.940  0.054  0.796
O  0.704  0.060  0.554
O  0.796  0.940  0.054
O  0.296  0.560  0.946
O  0.785  0.566  0.554
O  0.554  0.785  0.566
O  0.566  0.554  0.785
O  0.934  0.446  0.285
O  0.054  0.715  0.434
O  0.434  0.054  0.715
O  0.946  0.215  0.066
O  0.446  0.285  0.934

---

(5)
Compound: YZrZn2O
Source: Alexandria via LeMat-Bulk
Functional: meta-GGA SCAN
Structure: single point on PBEsol structure

* uncorrected energy: -18.922 eV/atom
* DOS(E_F): 1.12 states/eV/atom
* uncorrected formation energy: -561 meV/atom

Cell lengths 4.247, 4.611, 4.611 Å; angles 90.00, 90.00, 90.00 degrees
Fractional positions:
Y  0.500  0.000  0.000
Zn  0.000  0.000  0.500
Zn  0.000  0.500  0.000
O  0.000  0.000  0.000
Zr  0.500  0.500  0.500

---

(6)
Compound: YZr5O11
Source: Alexandria via LeMat-Bulk
Functional: meta-GGA SCAN
Structure: single point on PBEsol structure

* uncorrected energy: -18.390 eV/atom
* uncorrected formation energy: -3691 meV/atom

Cell lengths 3.514, 6.469, 8.910 Å; angles 90.78, 90.00, 90.00 degrees
Last column: magnetic moment on the atom in μB.
Fractional positions:
Y  0.500  0.167  0.334  0.30
Zr  0.500  0.814  0.669  0.00
Zr  0.500  0.492  0.007  0.00
Zr  0.000  0.335  0.672  0.10
Zr  0.000  0.686  0.332  0.07
Zr  0.000  0.009  0.997  0.01
O  0.500  0.225  0.584  0.02
O  0.500  0.532  0.773  0.00
O  0.500  0.519  0.278  0.03
O  0.500  0.200  0.087  0.00
O  0.500  0.865  0.928  0.00
O  0.500  0.854  0.439  0.00
O  0.000  0.634  0.077  0.00
O  0.000  0.302  0.901  0.01
O  0.000  0.971  0.724  0.00
O  0.000  0.974  0.232  0.03
O  0.000  0.616  0.564  0.01

---

(7)
Compound: Y4Zr3O12
Source: Alexandria via LeMat-Bulk
Functional: meta-GGA SCAN
Structure: single point on PBEsol structure

* uncorrected energy: -18.549 eV/atom
* DOS(E_F): 0.00 states/eV/atom
* E above lowest polymorph: 0.0000 eV per atom
* uncorrected formation energy: -3904 meV/atom

Cell lengths 6.278, 6.339, 6.509 Å; angles 99.81, 98.53, 99.59 degrees
Fractional positions:
Y  0.697  0.865  0.390
Y  0.386  0.698  0.865
Y  0.303  0.135  0.610
Y  0.614  0.302  0.135
Zr  0.000  0.000  0.000
Zr  0.849  0.396  0.670
Zr  0.151  0.604  0.330
O  0.585  0.416  0.821
O  0.828  0.569  0.425
O  0.412  0.812  0.565
O  0.415  0.584  0.179
O  0.172  0.431  0.575
O  0.588  0.188  0.435
O  0.023  0.678  0.884
O  0.923  0.086  0.694
O  0.685  0.935  0.059
O  0.977  0.322  0.116
O  0.077  0.914  0.306
O  0.315  0.065  0.941

---

(8)
Compound: YZrO3
Source: Alexandria via LeMat-Bulk
Functional: meta-GGA SCAN
Structure: single point on PBEsol structure

* uncorrected energy: -19.077 eV/atom
* uncorrected formation energy: -3630 meV/atom

Cell lengths 8.901, 8.901, 8.905 Å; angles 109.54, 108.99, 109.86 degrees
Fractional positions:
Y  0.761  0.476  0.758
Y  0.717  0.003  0.242
Y  0.262  0.503  0.284
Y  0.527  0.527  0.000
Y  0.025  0.025  0.000
Y  0.277  0.280  0.540
Y  0.740  0.738  0.460
Y  0.219  0.978  0.716
Zr  0.982  0.222  0.718
Zr  0.237  0.779  0.998
Zr  0.781  0.239  0.002
Zr  0.492  0.992  0.500
Zr  0.989  0.489  0.500
Zr  0.006  0.719  0.239
Zr  0.480  0.768  0.761
Zr  0.503  0.263  0.282
O  0.745  0.502  0.518
O  0.753  0.464  0.011
O  0.481  0.017  0.275
O  0.742  0.206  0.725
O  0.992  0.707  0.464
O  0.762  0.987  0.994
O  0.525  0.771  0.542
O  0.718  0.259  0.220
O  0.039  0.498  0.780
O  0.496  0.021  0.785
O  0.236  0.711  0.215
O  0.983  0.226  0.482
O  0.544  0.550  0.760
O  0.790  0.785  0.240
O  0.026  0.282  0.001
O  0.453  0.742  0.989
O  0.965  0.978  0.724
O  0.254  0.241  0.276
O  0.243  0.528  0.536
O  0.994  0.768  0.006
O  0.486  0.476  0.217
O  0.260  0.269  0.783
O  0.229  0.984  0.458
O  0.281  0.025  0.999

---

> Among the records above, which one has the highest uncorrected formation energy?

YZrZn2O

---

> Number 2 is which compound?

Y2W3O12